Record 1
Material: PtS2
Method: DFT, PBE
State: relaxed

a = 4.082 Å, b = 4.082 Å, c = 7.176 Å
α = 90.00°, β = 90.00°, γ = 120.29°
Element x y z (fractional)
1 Pt 0.166 0.834 0.750
2 Pt 0.834 0.166 0.250
3 S 0.166 0.834 0.250
4 S 0.500 0.500 0.000
5 S 0.500 0.500 0.500
6 S 0.834 0.166 0.750

Output
As for the total energy: -24.7 eV/cell. As for the crystal system: orthorhombic.

Record 2
Material: AlRe28
Method: DFT, PBE
State: relaxed

a = 8.304 Å, b = 8.304 Å, c = 8.304 Å
α = 109.47°, β = 109.47°, γ = 109.47°
Element x y z (fractional)
1 Al 0.000 0.000 0.000
2 Re 0.000 0.000 0.643
3 Re 0.000 0.195 0.374
4 Re 0.000 0.374 0.195
5 Re 0.000 0.398 0.683
6 Re 0.000 0.643 0.000
7 Re 0.000 0.683 0.398
8 Re 0.180 0.805 0.805
9 Re 0.195 0.000 0.374
10 Re 0.195 0.374 0.000
11 Re 0.285 0.602 0.602
12 Re 0.317 0.317 0.715
13 Re 0.317 0.715 0.317
14 Re 0.357 0.357 0.357
15 Re 0.374 0.000 0.195
16 Re 0.374 0.195 0.000
17 Re 0.398 0.000 0.683
18 Re 0.398 0.683 0.000
19 Re 0.602 0.285 0.602
20 Re 0.602 0.602 0.285
21 Re 0.626 0.626 0.820
22 Re 0.626 0.820 0.626
23 Re 0.643 0.000 0.000
24 Re 0.683 0.000 0.398
25 Re 0.683 0.398 0.000
26 Re 0.715 0.317 0.317
27 Re 0.805 0.180 0.805
28 Re 0.805 0.805 0.180
29 Re 0.820 0.626 0.626

Output
As for the total energy: -350.8 eV/cell. As for the crystal system: cubic.